## Si3W5 (PBEsol)

Data for crystalline Si3W5 at its relaxed geometry.

Volume   226.9 Å³/cell
Calculated density   14.7 g/cm³
Symmetry   I4/mcm (140)
E   -11.01 eV per atom
N(E_F)   3.67 states/eV/f.u.
E_form (uncorrected)   -5.2 kcal/mol of atoms

Lattice parameters (Å, degrees): 4.9232 7.2206 7.2206 83.33 70.07 70.07
Atoms (fractional coordinates):
W 0.2240 0.8516 0.7004
W 0.4244 0.8516 0.2996
W 0.5756 0.1484 0.7004
Si 0.1680 0.1640 0.5000
Si 0.2500 0.0000 0.0000
Si 0.7500 0.0000 0.0000
W 0.2500 0.5000 0.5000
Si 0.8320 0.8360 0.5000
W 0.2760 0.2996 0.1484
W 0.7240 0.7004 0.8516
W 0.7760 0.1484 0.2996
W 0.0756 0.7004 0.1484
Si 0.6680 0.5000 0.1640
W 0.9244 0.2996 0.8516
W 0.7500 0.5000 0.5000
Si 0.3320 0.5000 0.8360

## HgWCl (PBEsol)

Data for crystalline HgWCl at its relaxed geometry.

Volume   60.4 Å³/cell
Calculated density   11.5 g/cm³
Symmetry   Fmm2 (42)
E   -5.03 eV per atom
N(E_F)   2.05 states/eV/f.u.
E_form (uncorrected)   9.9 kcal/mol of atoms

Lattice parameters (Å, degrees): 2.8707 2.9691 8.2198 85.16 79.94 61.09
Atoms (fractional coordinates):
Cl 0.0339 0.0000 0.9323
W 0.6536 0.0000 0.6929
Hg 0.3126 0.0000 0.3748

## Ti2TcMo (PBEsol)

Data for crystalline Ti2TcMo at its relaxed geometry.

Volume   59.2 Å³/cell
Calculated density   8.1 g/cm³
Symmetry   Fm-3m (225)
E   -10.16 eV per atom
Formation energy from the elements   -241 meV/atom
N(E_F)   5.91 states/eV/f.u.

Lattice parameters (Å, degrees): 4.3738 4.3738 4.3738 60.00 60.00 60.00
Atoms (fractional coordinates):
Ti 0.2500 0.2500 0.2500
Ti 0.7500 0.7500 0.7500
Tc 0.5000 0.5000 0.5000
Mo 0.0000 0.0000 0.0000

## MnP2W (PBEsol)

Data for crystalline MnP2W at its relaxed geometry.

Volume   52.1 Å³/cell
Calculated density   9.6 g/cm³
Symmetry   Imm2 (44)
E   -9.24 eV per atom
Formation energy from the elements   -449 meV/atom
N(E_F)   2.38 states/eV/f.u.

Lattice parameters (Å, degrees): 3.1233 3.1562 5.7296 105.99 105.82 90.00
Each line ends with the local moment (μB).
Atoms (fractional coordinates):
W 0.5442 0.5442 0.0884  0.06
P 0.9491 0.9491 0.8982  -0.02
Mn 0.2881 0.7881 0.5761  1.47
P 0.7186 0.2186 0.4373  -0.04

> What is the calculated density in the second record?

11.5 g/cm³